Entry 1:
A geometry-optimized NpHg structure. Source: OQMD via LeMat-Bulk, functional PBE-GGA.

Output
ΔH_f (0 K) (eV/atom): 0.66
Calculated volume (Å³ per cell): 242.1

a = 6.2325 Å, b = 6.2325 Å, c = 6.2325 Å
α = 90.00°, β = 90.00°, γ = 90.00°
With the nearest neighbours (Å) after each atom.
Space group Fm-3m (No. 225)
Symmetry-distinct sites (fractional):
Np1 0.0000 0.0000 0.0000 x4  6 Hg 3.12
Hg1 0.0000 0.0000 0.5000 x4  6 Np 3.12


Entry 2:
A geometry-optimized NpHgPb structure. Source: OQMD via LeMat-Bulk, functional PBE-GGA.

Output
Calculated volume (Å³ per cell): 367.9
Energy above the lowest structure with this stoichiometry (meV per atom): 0

a = 7.1652 Å, b = 7.1652 Å, c = 7.1652 Å
α = 90.00°, β = 90.00°, γ = 90.00°
With the nearest neighbours (Å) after each atom.
Space group F-43m (No. 216)
Symmetry-distinct sites (fractional):
Np1 0.0000 0.0000 0.0000 x4  4 Hg 3.10
Hg1 0.2500 0.2500 0.2500 x4  4 Pb 3.10, 4 Np 3.10
Pb1 0.0000 0.0000 0.5000 x4  4 Hg 3.10


| no. | VASP energy (eV per atom) | total magnetization (μB per cell) |
| --- | --- | --- |
| 1 | -5.873 | 21.3 |
| 2 | -5.256 | 18.7 |